(1)
A plane-wave DFT calculation with PBE was carried out for crystalline AgBr2 at its relaxed geometry.

Lattice parameters (Å, degrees): 6.784 7.857 3.777 90.00 90.00 90.00
Sites, in units of the cell vectors:
1 Ag 0.000 0.000 0.000
2 Ag 0.500 0.500 0.500
3 Br 0.217 0.131 0.500
4 Br 0.283 0.631 0.000
5 Br 0.717 0.369 0.000
6 Br 0.783 0.869 0.500

## Properties
- space group = Pnnm
- DOS(E_F) (states/eV per cell) = 7.88
- total magnetic moment (μB/cell) = 0.7
- uncorrected formation energy (eV/atom) = -0.192


(2)
A plane-wave DFT calculation with PBE was carried out for crystalline OsRuSe at its relaxed geometry.

Lattice parameters (Å, degrees): 5.712 5.712 5.712 150.37 150.37 42.40
Sites, in units of the cell vectors:
1 Os 0.000 0.000 0.000
2 Ru 0.344 0.344 0.000
3 Se 0.667 0.667 0.000

## Properties
- space group = I4mm
- DOS(E_F) (states/eV per cell) = 3.64
- offset from the most stable computed form (meV per atom) = 91
- total magnetic moment (μB/cell) = 0.0
- uncorrected formation energy (eV/atom) = 0.478


(3)
A plane-wave DFT calculation with PBE was carried out for crystalline CaNd2TiN4 at its relaxed geometry.

Lattice parameters (Å, degrees): 6.325 6.325 12.333 90.00 90.00 147.37
Sites, in units of the cell vectors:
1 Ca 0.112 0.888 0.750
2 Ca 0.888 0.112 0.250
3 Nd 0.370 0.630 0.538
4 Nd 0.370 0.630 0.962
5 Nd 0.630 0.370 0.038
6 Nd 0.630 0.370 0.462
7 Ti 0.166 0.834 0.250
8 Ti 0.834 0.166 0.750
9 N 0.000 0.000 0.000
10 N 0.000 0.000 0.500
11 N 0.261 0.739 0.129
12 N 0.261 0.739 0.371
13 N 0.416 0.584 0.750
14 N 0.584 0.416 0.250
15 N 0.739 0.261 0.629
16 N 0.739 0.261 0.871

## Properties
- space group = Cmcm
- total magnetic moment (μB/cell) = 0.0
- uncorrected formation energy (eV/atom) = -1.246


(4)
A plane-wave DFT calculation with PBE was carried out for crystalline Pu4Ta at its relaxed geometry.

Lattice parameters (Å, degrees): 5.392 5.392 5.392 90.00 90.00 90.00
Sites, in units of the cell vectors:
1 Pu 0.000 0.000 0.000
2 Pu 0.000 0.500 0.500
3 Pu 0.500 0.000 0.500
4 Pu 0.500 0.500 0.000
5 Ta 0.500 0.500 0.500

## Properties
- space group = Pm-3m
- E_form (meV per atom) = 898
- DOS(E_F) (states/eV per cell) = 30.68
- total magnetic moment (μB/cell) = 23.4


(5)
A plane-wave DFT calculation with PBE was carried out for crystalline NaHPt3 at its relaxed geometry.

Lattice parameters (Å, degrees): 4.062 4.062 4.062 90.00 90.00 90.00
Sites, in units of the cell vectors:
1 Na 0.000 0.000 0.000
2 H 0.500 0.500 0.500
3 Pt 0.000 0.500 0.500
4 Pt 0.500 0.000 0.500
5 Pt 0.500 0.500 0.000

## Properties
- space group = Pm-3m
- DOS(E_F) (states/eV per cell) = 4.72
- offset from the most stable computed form (meV per atom) = 0
- total magnetic moment (μB/cell) = 0.0


(6)
A plane-wave DFT calculation with PBE was carried out for crystalline LiP2Au at its relaxed geometry.

Lattice parameters (Å, degrees): 5.404 5.404 5.404 142.64 138.16 57.33
Sites, in units of the cell vectors:
1 Li 0.000 0.000 0.000
2 P 0.285 0.785 0.500
3 P 0.715 0.215 0.500
4 Au 0.500 0.500 0.000

## Properties
- space group = Immm
- E_form (meV per atom) = 92
- DOS(E_F) (states/eV per cell) = 1.07
- offset from the most stable computed form (meV per atom) = 444
- total magnetic moment (μB/cell) = 0.0


Number 1: E -0.166 Ry per atom. Number 2: E -0.553 Ry per atom. Number 3: E -0.576 Ry per atom. Number 4: E -0.951 Ry per atom. Number 5: E -0.338 Ry per atom. Number 6: E -0.287 Ry per atom.